(1)
The following is a PBE-GGA calculation of Li2Mg2P after structural relaxation, from the Alexandria database.

Cell lengths 6.294, 6.294, 4.423 Å; angles 90.00, 90.00, 90.00 degrees
Element x y z (fractional)
Li1 0.147 0.353 0.000
Li2 0.353 0.853 0.000
Li3 0.647 0.147 0.000
Li4 0.853 0.647 0.000
Mg1 0.173 0.673 0.500
Mg2 0.327 0.173 0.500
Mg3 0.673 0.827 0.500
Mg4 0.827 0.327 0.500
P1 0.000 0.000 0.000
P2 0.500 0.500 0.000

Summary:
Uncorrected energy in eV/atom: -2.675
Energy relative to the lowest polymorph listed for this composition in eV/atom: 0.0000
Energy of formation from the pure elements in eV/atom: -0.190
Crystal system: tetragonal

(2)
The following is a PBE-GGA calculation of YHoHgTe after structural relaxation, from the Alexandria database.

Cell lengths 8.146, 8.146, 8.146 Å; angles 29.40, 29.40, 29.40 degrees
Element x y z (fractional)
Y1 0.000 0.000 0.000
Ho1 0.502 0.502 0.502
Hg1 0.250 0.250 0.250
Te1 0.751 0.751 0.751

Summary:
Uncorrected energy in eV/atom: -4.487
Formation energy (no corrections) in meV per atom: -866.1
Crystal system: trigonal

(3)
The following is a PBE-GGA calculation of NbVCo3 after structural relaxation, from the Alexandria database.

Cell lengths 4.636, 4.797, 6.069 Å; angles 77.27, 72.18, 89.84 degrees
Element x y z (fractional)
Nb1 0.079 0.291 0.336
Nb2 0.921 0.709 0.664
V1 0.169 0.181 0.835
V2 0.831 0.819 0.165
Co1 0.312 0.848 0.207
Co2 0.330 0.639 0.885
Co3 0.500 0.000 0.500
Co4 0.500 0.500 0.500
Co5 0.670 0.361 0.115
Co6 0.688 0.152 0.793

Summary:
Uncorrected energy in eV/atom: -8.247
Energy relative to the lowest polymorph listed for this composition in eV/atom: 0.0000
Energy of formation from the pure elements in eV/atom: -0.146
Crystal system: triclinic

- Which of these has the lowest uncorrected energy?
  NbVCo3

- Look up the uncorrected energy of the third one.
  -8.247 eV/atom

- Which value of uncorrected energy does entry 2 give?
  -4.487 eV/atom